Mg6InPb3 | PBE | optimized geometry

Values from the calculation:
The formation energy is -0.0498 eV per atom. For the total energy, the calculation gives -47.9 eV per cell.

Cell lengths 4.765, 9.836, 10.706 Å; angles 93.68, 90.00, 90.00 degrees
Fractional positions:
Mg: 0.750 0.353 0.307
Pb: 0.250 0.756 0.977
Pb: 0.250 0.344 0.803
In: 0.250 0.945 0.614
Mg: 0.250 0.452 0.102
Mg: 0.250 0.234 0.498
Mg: 0.750 0.850 0.795
Pb: 0.250 0.554 0.395
Mg: 0.250 0.861 0.307
In: 0.750 0.055 0.386
Mg: 0.750 0.139 0.693
Mg: 0.250 0.647 0.693
Mg: 0.750 0.766 0.502
Pb: 0.750 0.446 0.605
Mg: 0.250 0.150 0.205
Mg: 0.750 0.946 0.098
Pb: 0.750 0.244 0.023
Mg: 0.750 0.548 0.898
Mg: 0.250 0.054 0.902
Pb: 0.750 0.656 0.197


CsBiF | PBE | optimized geometry

Values from the calculation:
For the total energy, the calculation gives -21.0 eV per cell. The value obtained for the uncorrected formation energy is -3.92 eV/f.u.

Cell lengths 5.742, 3.618, 11.314 Å; angles 99.20, 104.70, 90.00 degrees
Fractional positions:
Cs: 0.685 0.185 0.371
Bi: 0.253 0.500 0.000
Cs: 0.315 0.815 0.629
F: 0.809 0.309 0.618
Bi: 0.747 0.500 0.000
F: 0.191 0.691 0.382


Q: The highest total energy belongs to which entry?
A: CsBiF


What did the first record say?
Mg6InPb3 | PBE | optimized geometry

Values from the calculation:
The formation energy is -0.0498 eV per atom. For the total energy, the calculation gives -47.9 eV per cell.

Cell lengths 4.765, 9.836, 10.706 Å; angles 93.68, 90.00, 90.00 degrees
Fractional positions:
Mg: 0.750 0.353 0.307
Pb: 0.250 0.756 0.977
Pb: 0.250 0.344 0.803
In: 0.250 0.945 0.614
Mg: 0.250 0.452 0.102
Mg: 0.250 0.234 0.498
Mg: 0.750 0.850 0.795
Pb: 0.250 0.554 0.395
Mg: 0.250 0.861 0.307
In: 0.750 0.055 0.386
Mg: 0.750 0.139 0.693
Mg: 0.250 0.647 0.693
Mg: 0.750 0.766 0.502
Pb: 0.750 0.446 0.605
Mg: 0.250 0.150 0.205
Mg: 0.750 0.946 0.098
Pb: 0.750 0.244 0.023
Mg: 0.750 0.548 0.898
Mg: 0.250 0.054 0.902
Pb: 0.750 0.656 0.197


Please write out number 1 again, unchanged.
Mg6InPb3 | PBE | optimized geometry

Values from the calculation:
The formation energy is -0.0498 eV per atom. For the total energy, the calculation gives -47.9 eV per cell.

Cell lengths 4.765, 9.836, 10.706 Å; angles 93.68, 90.00, 90.00 degrees
Fractional positions:
Mg: 0.750 0.353 0.307
Pb: 0.250 0.756 0.977
Pb: 0.250 0.344 0.803
In: 0.250 0.945 0.614
Mg: 0.250 0.452 0.102
Mg: 0.250 0.234 0.498
Mg: 0.750 0.850 0.795
Pb: 0.250 0.554 0.395
Mg: 0.250 0.861 0.307
In: 0.750 0.055 0.386
Mg: 0.750 0.139 0.693
Mg: 0.250 0.647 0.693
Mg: 0.750 0.766 0.502
Pb: 0.750 0.446 0.605
Mg: 0.250 0.150 0.205
Mg: 0.750 0.946 0.098
Pb: 0.750 0.244 0.023
Mg: 0.750 0.548 0.898
Mg: 0.250 0.054 0.902
Pb: 0.750 0.656 0.197